{"formula": "NbTc3Pd", "functional": "SCAN", "state": "PBEsol geometry", "e_tot_ev_per_atom": -32.2556, "delta_e_f_ev_per_fu": 9.8, "lattice_angstrom": [[-2.022, 4.106, -0.391], [-4.064, -1.908, 0.973], [0.707, 0.774, 4.472]], "species": ["Nb", "Tc", "Tc", "Tc", "Pd"], "fractional_positions": [[0.000, 0.000, 0.000], [0.000, 0.500, 0.000], [0.000, 0.000, 0.500], [0.500, 0.000, 0.000], [0.500, 0.500, 0.500]]}